# GGA+U CsVRhO6, optimized geometry
data_CsVRhO6
_chemical_formula_sum 'Cs1 V1 Rh1 O6'
_space_group_name_H-M_alt 'P 1'
_space_group_IT_number 1
_cell_length_a 5.230
_cell_length_b 5.230
_cell_length_c 6.647
_cell_angle_alpha 90.00
_cell_angle_beta 90.00
_cell_angle_gamma 120.00
loop_
_space_group_symop_operation_xyz
'x,y,z'
loop_
_atom_site_label
_atom_site_type_symbol
_atom_site_fract_x
_atom_site_fract_y
_atom_site_fract_z
Cs1 Cs 0.000 0.000 0.000
V1 V 0.667 0.333 0.500
Rh1 Rh 0.333 0.667 0.500
O1 O 0.428 0.008 0.331
O2 O 0.428 0.420 0.669
O3 O 0.580 0.008 0.669
O4 O 0.580 0.572 0.331
O5 O 0.992 0.420 0.331
O6 O 0.992 0.572 0.669
# symmetry	P312, No. 149
# M_tot	0.0	μB per cell
# V	157.5	Å³/f.u.
# calculated total energy	-6.21	eV per atom